VASP calculation (PBE) on a geometry-optimized Cs2PrI6 structure.

Properties
Crystal system: orthorhombic
E_form (uncorrected) in eV/atom: -1.24
Calculated total energy in eV per atom: -2.99

Unit cell a=5.007 b=9.826 c=9.842 alpha=119.95 beta=90.00 gamma=90.00
Element x y z (fractional)
Pr1 0.500 0.001 0.000
I1 0.000 0.772 0.772
I2 0.500 0.999 0.655
I3 0.500 0.345 0.345
I4 0.000 0.229 0.000
I5 0.000 0.000 0.228
I6 0.500 0.656 0.000
Cs1 0.000 0.666 0.334
Cs2 0.000 0.332 0.666